Record 1
VASP calculation (PBE-GGA) on an optimized crystal structure of CePrRh.

```
CePrRh
1.0
4.057 0.000 0.000
0.000 4.606 0.000
-0.672 0.000 8.176
Ce Pr Rh
2 2 2
Direct
0.199 0.250 0.468 Ce
0.801 0.750 0.532 Ce
0.269 0.750 0.137 Pr
0.731 0.250 0.863 Pr
0.252 0.750 0.772 Rh
0.748 0.250 0.228 Rh
```

Calculated values
Space group   No. 11
Formation enthalpy at 0 K   -0.47 eV per atom
D(E_F)   1.4165 states/eV per atom
E above lowest polymorph   0.0000 eV per atom

=====

Record 2
VASP calculation (PBE-GGA) on an optimized crystal structure of KTl2SbO6.

```
KTl2SbO6
1.0
2.916 1.683 5.207
-2.916 1.683 5.207
0.000 -3.367 5.207
K Tl Sb O
1 2 1 6
Direct
0.000 0.000 0.000 K
0.270 0.270 0.270 Tl
0.782 0.782 0.782 Tl
0.477 0.477 0.477 Sb
0.109 0.631 0.436 O
0.235 0.551 0.841 O
0.436 0.109 0.631 O
0.551 0.841 0.235 O
0.631 0.436 0.109 O
0.841 0.235 0.551 O
```

Calculated values
Space group   No. 146
D(E_F)   0.8560 states/eV per atom
ΔE_f (raw)   -1081 meV per atom

=====

Record 3
VASP calculation (PBE-GGA) on an optimized crystal structure of BaSrPtPbCl.

```
BaSrPtPbCl
1.0
4.875 0.000 0.000
0.000 4.319 0.000
0.000 0.000 17.330
Ba Sr Pt Pb Cl
2 2 2 2 2
Direct
0.000 0.000 0.000 Ba
0.000 0.500 0.500 Ba
0.000 0.000 0.272 Sr
0.000 0.500 0.772 Sr
0.500 0.000 0.429 Pt
0.500 0.500 0.929 Pt
0.500 0.000 0.838 Pb
0.500 0.500 0.338 Pb
0.000 0.000 0.645 Cl
0.000 0.500 0.145 Cl
```

Calculated values
Space group   No. 38
D(E_F)   0.4211 states/eV per atom
ΔE_f (raw)   -1029 meV per atom
E above lowest polymorph   0.1574 eV per atom

=====

Record 4
VASP calculation (PBE-GGA) on an optimized crystal structure of CaRuSCl2.

```
CaRuSCl2
1.0
4.863 0.000 0.000
0.000 4.863 0.000
0.000 0.000 4.611
Ca Ru S Cl
1 1 1 2
Direct
0.000 0.000 0.000 Ca
0.500 0.500 0.500 Ru
0.500 0.500 0.000 S
0.000 0.500 0.500 Cl
0.500 0.000 0.500 Cl
```

Calculated values
Space group   No. 123
D(E_F)   0.7644 states/eV per atom
ΔE_f (raw)   -747 meV per atom
E above lowest polymorph   0.0000 eV per atom

=====

Record 5
VASP calculation (PBE-GGA) on an optimized crystal structure of Li2ScH6.

```
Li2ScH6
1.0
0.000 3.512 3.512
3.512 0.000 3.512
3.512 3.512 0.000
Li Sc H
2 1 6
Direct
0.250 0.250 0.250 Li
0.750 0.750 0.750 Li
0.000 0.000 0.000 Sc
0.277 0.277 0.723 H
0.277 0.723 0.277 H
0.277 0.723 0.723 H
0.723 0.277 0.277 H
0.723 0.277 0.723 H
0.723 0.723 0.277 H
```

Calculated values
Space group   No. 225
Uncorrected energy   -3.15 eV per atom
D(E_F)   0.2856 states/eV per atom

=====

Record 6
VASP calculation (PBE-GGA) on an optimized crystal structure of AgAsPt2.

```
AgAsPt2
1.0
2.831 0.000 0.000
0.000 4.251 0.000
0.000 0.000 5.643
Ag As Pt
1 1 2
Direct
0.000 0.000 0.000 Ag
0.500 0.000 0.500 As
0.500 0.500 0.246 Pt
0.500 0.500 0.754 Pt
```

Calculated values
Space group   No. 47
Formation enthalpy at 0 K   -0.08 eV per atom
D(E_F)   0.3550 states/eV per atom

=====

Record 7
VASP calculation (PBE-GGA) on an optimized crystal structure of YIrRh.

```
YIrRh
1.0
5.339 0.000 0.000
0.000 5.358 0.000
0.000 0.000 7.597
Y Ir Rh
4 4 4
Direct
0.000 0.250 0.124 Y
0.000 0.750 0.876 Y
0.500 0.250 0.376 Y
0.500 0.750 0.624 Y
0.250 0.250 0.750 Ir
0.250 0.750 0.250 Ir
0.750 0.250 0.750 Ir
0.750 0.750 0.250 Ir
0.000 0.000 0.500 Rh
0.000 0.500 0.500 Rh
0.500 0.000 0.000 Rh
0.500 0.500 0.000 Rh
```

Calculated values
Space group   No. 74
Formation enthalpy at 0 K   -0.77 eV per atom
D(E_F)   0.7975 states/eV per atom
E above lowest polymorph   0.0000 eV per atom

=====

Record 8
VASP calculation (PBE-GGA) on an optimized crystal structure of TaInO4.

```
TaInO4
1.0
5.323 0.000 0.000
0.000 5.079 0.000
-0.618 0.000 5.240
Ta In O
2 2 8
Direct
0.000 0.000 0.000 Ta
0.000 0.500 0.500 Ta
0.500 0.000 0.500 In
0.500 0.500 0.000 In
0.129 0.176 0.696 O
0.129 0.324 0.196 O
0.334 0.651 0.629 O
0.334 0.849 0.129 O
0.666 0.151 0.871 O
0.666 0.349 0.371 O
0.871 0.676 0.804 O
0.871 0.824 0.304 O
```

Calculated values
Space group   No. 14
D(E_F)   0.0000 states/eV per atom
ΔE_f (raw)   -2216 meV per atom

=====

Record 9
VASP calculation (PBE-GGA) on an optimized crystal structure of Zr2SiIr.

```
Zr2SiIr
1.0
5.402 0.000 0.000
0.000 5.402 0.000
0.000 0.000 14.294
Zr Si Ir
8 4 4
Direct
0.244 0.250 0.125 Zr
0.250 0.744 0.375 Zr
0.250 0.756 0.875 Zr
0.256 0.250 0.625 Zr
0.744 0.750 0.625 Zr
0.750 0.244 0.875 Zr
0.750 0.256 0.375 Zr
0.756 0.750 0.125 Zr
0.000 0.000 0.500 Si
0.000 0.500 0.750 Si
0.500 0.000 0.250 Si
0.500 0.500 0.000 Si
0.000 0.000 0.000 Ir
0.000 0.500 0.250 Ir
0.500 0.000 0.750 Ir
0.500 0.500 0.500 Ir
```

Calculated values
Space group   No. 122
D(E_F)   0.5129 states/eV per atom
ΔE_f (raw)   317 meV per atom

=====

Record 10
VASP calculation (PBE-GGA) on an optimized crystal structure of NaCeHgGe.

```
NaCeHgGe
1.0
7.322 0.000 0.000
0.000 7.322 0.000
0.000 0.000 7.322
Na Ce Hg Ge
4 4 4 4
Direct
0.000 0.000 0.000 Na
0.000 0.500 0.500 Na
0.500 0.000 0.500 Na
0.500 0.500 0.000 Na
0.000 0.000 0.500 Ce
0.000 0.500 0.000 Ce
0.500 0.000 0.000 Ce
0.500 0.500 0.500 Ce
0.250 0.250 0.750 Hg
0.250 0.750 0.250 Hg
0.750 0.250 0.250 Hg
0.750 0.750 0.750 Hg
0.250 0.250 0.250 Ge
0.250 0.750 0.750 Ge
0.750 0.250 0.750 Ge
0.750 0.750 0.250 Ge
```

Calculated values
Space group   No. 216
Formation enthalpy at 0 K   -0.35 eV per atom
D(E_F)   1.6423 states/eV per atom

=====

Record 11
VASP calculation (PBE-GGA) on an optimized crystal structure of Na2BCl.

```
Na2BCl
1.0
6.939 0.000 0.000
0.000 6.939 0.000
0.000 0.000 6.939
Na B Cl
8 4 4
Direct
0.250 0.250 0.250 Na
0.250 0.250 0.750 Na
0.250 0.750 0.250 Na
0.250 0.750 0.750 Na
0.750 0.250 0.250 Na
0.750 0.250 0.750 Na
0.750 0.750 0.250 Na
0.750 0.750 0.750 Na
0.000 0.000 0.000 B
0.000 0.500 0.500 B
0.500 0.000 0.500 B
0.500 0.500 0.000 B
0.000 0.000 0.500 Cl
0.000 0.500 0.000 Cl
0.500 0.000 0.000 Cl
0.500 0.500 0.500 Cl
```

Calculated values
Space group   No. 225
D(E_F)   1.2015 states/eV per atom
ΔE_f (raw)   363 meV per atom
E above lowest polymorph   0.0869 eV per atom

=====

Record 12
VASP calculation (PBE-GGA) on an optimized crystal structure of VSb2Pt.

```
VSb2Pt
1.0
3.239 0.000 0.000
-1.619 2.805 0.000
0.000 0.000 27.103
V Sb Pt
3 6 3
Direct
0.000 0.000 0.000 V
0.333 0.667 0.667 V
0.667 0.333 0.333 V
0.000 0.000 0.405 Sb
0.000 0.000 0.595 Sb
0.333 0.667 0.072 Sb
0.333 0.667 0.262 Sb
0.667 0.333 0.738 Sb
0.667 0.333 0.928 Sb
0.000 0.000 0.500 Pt
0.333 0.667 0.167 Pt
0.667 0.333 0.833 Pt
```

Calculated values
Space group   No. 166
D(E_F)   0.7789 states/eV per atom
ΔE_f (raw)   85 meV per atom
E above lowest polymorph   0.0310 eV per atom

=====

Record 13
VASP calculation (PBE-GGA) on an optimized crystal structure of Ca2CrAs.

```
Ca2CrAs
1.0
4.855 0.000 0.000
0.000 4.855 0.000
0.000 0.000 4.130
Ca Cr As
2 1 1
Direct
0.000 0.500 0.000 Ca
0.500 0.000 0.000 Ca
0.000 0.000 0.500 Cr
0.500 0.500 0.500 As
```

Calculated values
Space group   No. 123
Formation enthalpy at 0 K   -0.21 eV per atom
D(E_F)   0.1882 states/eV per atom